[1]
Below is a relaxed SrPb2Br crystal, with properties calculated at the GGA-PBEsol level.

Summary:
As for the space-group type: I4/mmm. The calculation puts the uncorrected formation energy at -0.672 eV per atom.

a = 7.2185 Å, b = 7.2185 Å, c = 7.2185 Å
α = 144.53°, β = 144.53°, γ = 51.03°
Sites, in units of the cell vectors:
Sr (0.0000, 0.0000, 0.0000)
Pb (0.2500, 0.7500, 0.5000)
Pb (0.7500, 0.2500, 0.5000)
Br (0.5000, 0.5000, 0.0000)



[2]
Below is a relaxed ScTcSeBr2 crystal, with properties calculated at the GGA-PBEsol level.

Summary:
As for the space-group type: P4/mmm. The calculation puts the uncorrected formation energy at 0.097 eV per atom. For the energy relative to the lowest polymorph listed for this composition, the calculation gives 0.0 meV/atom.

a = 5.0097 Å, b = 5.0097 Å, c = 4.7228 Å
α = 90.00°, β = 90.00°, γ = 90.00°
Sites, in units of the cell vectors:
Sc (0.0000, 0.0000, 0.0000)
Tc (0.5000, 0.5000, 0.5000)
Se (0.5000, 0.5000, 0.0000)
Br (0.0000, 0.5000, 0.5000)
Br (0.5000, 0.0000, 0.5000)



[3]
Below is a relaxed NiAg3Te crystal, with properties calculated at the GGA-PBEsol level.

Summary:
As for the space-group type: Pm-3m. The calculation puts the uncorrected formation energy at 0.674 eV per atom. For the energy relative to the lowest polymorph listed for this composition, the calculation gives 0.0 meV/atom.

a = 4.6922 Å, b = 4.6922 Å, c = 4.6922 Å
α = 90.00°, β = 90.00°, γ = 90.00°
Sites, in units of the cell vectors:
Ni (0.0000, 0.0000, 0.0000)
Ag (0.0000, 0.0000, 0.5000)
Ag (0.0000, 0.5000, 0.0000)
Ag (0.5000, 0.0000, 0.0000)
Te (0.5000, 0.5000, 0.5000)



[4]
Below is a relaxed HfH2Br crystal, with properties calculated at the GGA-PBEsol level.

Summary:
As for the space-group type: I4_1/amd. As for the energy: -4.949 eV per atom.

a = 7.0805 Å, b = 7.0805 Å, c = 7.0805 Å
α = 147.22°, β = 147.22°, γ = 47.04°
Sites, in units of the cell vectors:
Hf (0.3750, 0.6250, 0.7500)
Hf (0.6250, 0.3750, 0.2500)
H (0.0000, 0.5000, 0.5000)
H (0.5000, 0.0000, 0.0000)
H (0.5000, 0.5000, 0.0000)
H (0.5000, 0.5000, 0.5000)
Br (0.1250, 0.8750, 0.2500)
Br (0.8750, 0.1250, 0.7500)



[5]
Below is a relaxed AlMoW2 crystal, with properties calculated at the GGA-PBEsol level.

Summary:
As for the space-group type: P4/mmm. As for the formation energy: 0.140 eV per atom.

a = 3.2720 Å, b = 3.2720 Å, c = 5.7192 Å
α = 90.00°, β = 90.00°, γ = 90.00°
Sites, in units of the cell vectors:
Al (0.0000, 0.0000, 0.0000)
Mo (0.0000, 0.0000, 0.5000)
W (0.5000, 0.5000, 0.2467)
W (0.5000, 0.5000, 0.7533)



[6]
Below is a relaxed BaCuS2 crystal, with properties calculated at the GGA-PBEsol level.

Summary:
As for the space-group type: Cmcm. The calculation puts the uncorrected formation energy at -1.102 eV per atom.

a = 6.3958 Å, b = 6.3958 Å, c = 5.2354 Å
α = 90.00°, β = 90.00°, γ = 117.38°
Sites, in units of the cell vectors:
Ba (0.1487, 0.8513, 0.7500)
Ba (0.8513, 0.1487, 0.2500)
Cu (0.5000, 0.5000, 0.0000)
Cu (0.5000, 0.5000, 0.5000)
S (0.1651, 0.3656, 0.7500)
S (0.3656, 0.1651, 0.2500)
S (0.6344, 0.8349, 0.7500)
S (0.8349, 0.6344, 0.2500)



[7]
Below is a relaxed ZrNi5B2O10 crystal, with properties calculated at the GGA-PBEsol level.

Summary:
As for the space-group type: Pmc2_1. The calculation puts the uncorrected formation energy at -1.508 eV per atom.

a = 3.0858 Å, b = 9.0565 Å, c = 12.3211 Å
α = 90.00°, β = 90.00°, γ = 90.00°
Sites, in units of the cell vectors:
Zr (0.0000, 0.0095, 0.0000)
Zr (0.0000, 0.9905, 0.5000)
Ni (0.0000, 0.2616, 0.3838)
Ni (0.0000, 0.4873, 0.7727)
Ni (0.0000, 0.5127, 0.2727)
Ni (0.0000, 0.7384, 0.8838)
Ni (0.5000, 0.2595, 0.8826)
Ni (0.5000, 0.2602, 0.1732)
Ni (0.5000, 0.2671, 0.6077)
Ni (0.5000, 0.7329, 0.1077)
Ni (0.5000, 0.7398, 0.6732)
Ni (0.5000, 0.7405, 0.3826)
B (0.0000, 0.0250, 0.7455)
B (0.0000, 0.4708, 0.0275)
B (0.0000, 0.5292, 0.5275)
B (0.0000, 0.9750, 0.2455)
O (0.0000, 0.1030, 0.8424)
O (0.0000, 0.1055, 0.6498)
O (0.0000, 0.1263, 0.2440)
O (0.0000, 0.3752, 0.5274)
O (0.0000, 0.3943, 0.9300)
O (0.0000, 0.3980, 0.1265)
O (0.0000, 0.6020, 0.6265)
O (0.0000, 0.6057, 0.4300)
O (0.0000, 0.6248, 0.0274)
O (0.0000, 0.8737, 0.7440)
O (0.0000, 0.8945, 0.1498)
O (0.0000, 0.8970, 0.3424)
O (0.5000, 0.1381, 0.4593)
O (0.5000, 0.1492, 0.0350)
O (0.5000, 0.3612, 0.3110)
O (0.5000, 0.3635, 0.7444)
O (0.5000, 0.6365, 0.2444)
O (0.5000, 0.6388, 0.8110)
O (0.5000, 0.8508, 0.5350)
O (0.5000, 0.8619, 0.9593)



[8]
Below is a relaxed CaCdAg crystal, with properties calculated at the GGA-PBEsol level.

Summary:
As for the space-group type: P-6m2. As for the formation energy: -0.287 eV per atom.

a = 4.8102 Å, b = 4.8102 Å, c = 3.5095 Å
α = 90.00°, β = 90.00°, γ = 120.00°
Sites, in units of the cell vectors:
Ca (0.0000, 0.0000, 0.0000)
Cd (0.3333, 0.6667, 0.5000)
Ag (0.6667, 0.3333, 0.5000)



[9]
Below is a relaxed BaHgPb2 crystal, with properties calculated at the GGA-PBEsol level.

Summary:
As for the space-group type: F-43m. As for the formation energy: -0.380 eV per atom. For the energy relative to the lowest polymorph listed for this composition, the calculation gives 3.6 meV/atom.

a = 5.6195 Å, b = 5.6195 Å, c = 5.6195 Å
α = 60.00°, β = 60.00°, γ = 60.00°
Sites, in units of the cell vectors:
Ba (0.0000, 0.0000, 0.0000)
Hg (0.7500, 0.7500, 0.7500)
Pb (0.2500, 0.2500, 0.2500)
Pb (0.5000, 0.5000, 0.5000)



[10]
Below is a relaxed Li3Al crystal, with properties calculated at the GGA-PBEsol level.

Summary:
As for the space-group type: P6_3/mmc. As for the formation energy: -0.044 eV per atom.

a = 5.7475 Å, b = 5.7475 Å, c = 9.3464 Å
α = 90.00°, β = 90.00°, γ = 120.00°
Sites, in units of the cell vectors:
Li (0.0000, 0.5000, 0.0000)
Li (0.0000, 0.5000, 0.5000)
Li (0.1604, 0.3209, 0.2500)
Li (0.1604, 0.8396, 0.2500)
Li (0.3209, 0.1604, 0.7500)
Li (0.5000, 0.0000, 0.0000)
Li (0.5000, 0.0000, 0.5000)
Li (0.5000, 0.5000, 0.0000)
Li (0.5000, 0.5000, 0.5000)
Li (0.6791, 0.8396, 0.2500)
Li (0.8396, 0.1604, 0.7500)
Li (0.8396, 0.6791, 0.7500)
Al (0.0000, 0.0000, 0.0000)
Al (0.0000, 0.0000, 0.5000)
Al (0.3333, 0.6667, 0.7500)
Al (0.6667, 0.3333, 0.2500)



[11]
Below is a relaxed CrMo3 crystal, with properties calculated at the GGA-PBEsol level.

Summary:
As for the space-group type: Cm. As for the formation energy: 0.075 eV per atom.

a = 6.1171 Å, b = 6.1171 Å, c = 6.1277 Å
α = 90.07°, β = 90.07°, γ = 89.71°
Sites, in units of the cell vectors:
Cr (0.0000, 0.0000, 0.0000)
Cr (0.0001, 0.0001, 0.4951)
Cr (0.5030, 0.5030, 0.4960)
Cr (0.7526, 0.7526, 0.2486)
Mo (0.2477, 0.7541, 0.2493)
Mo (0.2493, 0.2493, 0.2493)
Mo (0.2492, 0.2492, 0.7450)
Mo (0.2491, 0.7538, 0.7450)
Mo (0.5037, 0.5037, 0.0006)
Mo (0.5046, 0.9983, 0.4949)
Mo (0.5046, 0.9992, 0.9994)
Mo (0.7541, 0.2477, 0.2493)
Mo (0.7538, 0.2491, 0.7450)
Mo (0.7536, 0.7536, 0.7444)
Mo (0.9983, 0.5046, 0.4949)
Mo (0.9992, 0.5046, 0.9994)



[12]
Below is a relaxed Mn2HgRh crystal, with properties calculated at the GGA-PBEsol level.

Summary:
As for the space-group type: F-43m. As for the formation energy: 0.306 eV per atom.

a = 4.3990 Å, b = 4.3990 Å, c = 4.3990 Å
α = 60.00°, β = 60.00°, γ = 60.00°
Sites, in units of the cell vectors:
Mn (0.0000, 0.0000, 0.0000)
Mn (0.2500, 0.2500, 0.2500)
Hg (0.7500, 0.7500, 0.7500)
Rh (0.5000, 0.5000, 0.5000)



[13]
Below is a relaxed Y2MgScNb crystal, with properties calculated at the GGA-PBEsol level.

Summary:
As for the space-group type: P4/mmm. As for the formation energy: 0.546 eV per atom.

a = 5.3844 Å, b = 5.3844 Å, c = 5.0480 Å
α = 90.00°, β = 90.00°, γ = 90.00°
Sites, in units of the cell vectors:
Y (0.0000, 0.5000, 0.0000)
Y (0.5000, 0.0000, 0.0000)
Mg (0.0000, 0.0000, 0.5000)
Sc (0.5000, 0.5000, 0.5000)
Nb (0.5000, 0.5000, 0.0000)



[14]
Below is a relaxed Li2MgRh crystal, with properties calculated at the GGA-PBEsol level.

Summary:
As for the space-group type: Pmmm. As for the formation energy: -0.148 eV per atom.

a = 3.2000 Å, b = 4.1846 Å, c = 4.4016 Å
α = 90.00°, β = 90.00°, γ = 90.00°
Sites, in units of the cell vectors:
Li (0.0000, 0.0000, 0.0000)
Li (0.5000, 0.5000, 0.0000)
Mg (0.0000, 0.5000, 0.5000)
Rh (0.5000, 0.0000, 0.5000)



[15]
Below is a relaxed CaCrMo2 crystal, with properties calculated at the GGA-PBEsol level.

Summary:
As for the space-group type: P2/m. As for the formation energy: 0.622 eV per atom. For the energy relative to the lowest polymorph listed for this composition, the calculation gives 0.0 meV/atom.

a = 2.9789 Å, b = 3.5810 Å, c = 6.9135 Å
α = 90.00°, β = 97.30°, γ = 90.00°
Sites, in units of the cell vectors:
Ca (0.0000, 0.0000, 0.0000)
Cr (0.0000, 0.0000, 0.5000)
Mo (0.4206, 0.5000, 0.6675)
Mo (0.5794, 0.5000, 0.3325)



[16]
Below is a relaxed MnBeTl2 crystal, with properties calculated at the GGA-PBEsol level.

Summary:
As for the space-group type: I-4m2. As for the formation energy: 0.679 eV per atom. For the energy relative to the lowest polymorph listed for this composition, the calculation gives 221.7 meV/atom.

a = 5.4039 Å, b = 5.4039 Å, c = 5.4039 Å
α = 137.09°, β = 137.09°, γ = 62.30°
Sites, in units of the cell vectors:
Mn (0.0000, 0.0000, 0.0000)
Be (0.2500, 0.7500, 0.5000)
Tl (0.5000, 0.5000, 0.0000)
Tl (0.7500, 0.2500, 0.5000)



[17]
Below is a relaxed HoPd crystal, with properties calculated at the GGA-PBEsol level.

Summary:
As for the space-group type: Pnma. As for the formation energy: -0.921 eV per atom.

a = 6.7421 Å, b = 4.5518 Å, c = 5.4526 Å
α = 90.00°, β = 90.00°, γ = 90.00°
Sites, in units of the cell vectors:
Ho (0.1819, 0.2500, 0.1437)
Ho (0.3181, 0.7500, 0.6437)
Ho (0.6819, 0.2500, 0.3563)
Ho (0.8181, 0.7500, 0.8563)
Pd (0.0415, 0.2500, 0.6541)
Pd (0.4585, 0.7500, 0.1541)
Pd (0.5415, 0.2500, 0.8459)
Pd (0.9585, 0.7500, 0.3459)



[18]
Below is a relaxed KTa2Cd crystal, with properties calculated at the GGA-PBEsol level.

Summary:
As for the space-group type: I-4m2. As for the formation energy: 1.273 eV per atom.

a = 4.9031 Å, b = 4.9031 Å, c = 4.9031 Å
α = 120.09°, β = 120.09°, γ = 89.85°
Sites, in units of the cell vectors:
K (0.0000, 0.0000, 0.0000)
Ta (0.5000, 0.5000, 0.0000)
Ta (0.7500, 0.2500, 0.5000)
Cd (0.2500, 0.7500, 0.5000)



[19]
Below is a relaxed SiMo2H crystal, with properties calculated at the GGA-PBEsol level.

Summary:
As for the space-group type: I-42d. As for the energy: -8.132 eV per atom.

a = 4.9580 Å, b = 4.9580 Å, c = 4.9580 Å
α = 108.70°, β = 108.70°, γ = 111.03°
Sites, in units of the cell vectors:
Si (0.0000, 0.0000, 0.0000)
Si (0.7500, 0.2500, 0.5000)
Mo (0.2085, 0.6250, 0.0835)
Mo (0.3750, 0.4585, 0.5835)
Mo (0.5415, 0.1250, 0.9165)
Mo (0.8750, 0.7915, 0.4165)
H (0.2500, 0.7500, 0.5000)
H (0.5000, 0.5000, 0.0000)



[20]
Below is a relaxed AlPtBr2 crystal, with properties calculated at the GGA-PBEsol level.

Summary:
As for the space-group type: Cmm2. The calculation puts the uncorrected formation energy at -0.216 eV per atom. For the energy relative to the lowest polymorph listed for this composition, the calculation gives 252.4 meV/atom.

a = 3.2521 Å, b = 3.2521 Å, c = 8.8104 Å
α = 90.00°, β = 90.00°, γ = 113.13°
Sites, in units of the cell vectors:
Al (0.0000, 0.0000, 0.0000)
Pt (0.5000, 0.5000, 0.1799)
Br (0.0000, 0.0000, 0.4135)
Br (0.5000, 0.5000, 0.7888)



Number 1: M_tot 0.0 μB per formula unit, DOS(E_F) 2.0 states/eV/cell. Number 2: M_tot 0.6 μB per formula unit, DOS(E_F) 6.5 states/eV/cell. Number 3: M_tot 0.4 μB per formula unit, DOS(E_F) 5.0 states/eV/cell. Number 4: M_tot 0.0 μB per formula unit, DOS(E_F) 3.4 states/eV/cell. Number 5: M_tot 0.0 μB per formula unit, DOS(E_F) 3.0 states/eV/cell. Number 6: M_tot 0.0 μB per formula unit, DOS(E_F) 4.1 states/eV/cell. Number 7: M_tot 9.5 μB per formula unit, DOS(E_F) 5.2 states/eV/cell. Number 8: M_tot 0.0 μB per formula unit, DOS(E_F) 1.9 states/eV/cell. Number 9: M_tot 0.0 μB per formula unit, DOS(E_F) 1.8 states/eV/cell. Number 10: M_tot 0.0 μB per formula unit, DOS(E_F) 6.4 states/eV/cell. Number 11: M_tot 0.0 μB per formula unit, DOS(E_F) 11.4 states/eV/cell. Number 12: M_tot 7.5 μB per formula unit, DOS(E_F) 3.5 states/eV/cell. Number 13: M_tot 0.0 μB per formula unit, DOS(E_F) 5.6 states/eV/cell. Number 14: M_tot 0.0 μB per formula unit, DOS(E_F) 1.2 states/eV/cell. Number 15: M_tot 0.0 μB per formula unit, DOS(E_F) 2.8 states/eV/cell. Number 16: M_tot 3.1 μB per formula unit, DOS(E_F) 2.7 states/eV/cell. Number 17: M_tot 0.0 μB per formula unit, DOS(E_F) 4.4 states/eV/cell. Number 18: M_tot 0.9 μB per formula unit, DOS(E_F) 5.9 states/eV/cell. Number 19: M_tot 0.0 μB per formula unit, DOS(E_F) 4.0 states/eV/cell. Number 20: M_tot 0.0 μB per formula unit, DOS(E_F) 2.8 states/eV/cell.